ZnReOs2Rh: relaxed, PBE-GGA.

## Properties
Its symmetry is P4/mmm (123). As for the crystal system: tetragonal. For the mass density, the calculation gives 12013 kg/m3. Its formation energy from the elements is 1.980 eV per atom.

a = 4.660 Å, b = 4.660 Å, c = 4.678 Å
α = 90.00°, β = 90.00°, γ = 90.00°
Sites, in units of the cell vectors:
Zn 0.000 0.000 0.000
Re 0.000 0.000 0.500
Os 0.000 0.500 0.500
Os 0.500 0.000 0.500
Rh 0.500 0.500 0.000